Record 1
A plane-wave DFT calculation with PBE was carried out for a relaxed structure of SmHoTiAl.

Energy of formation: -0.03 eV/atom

Lattice parameters (Å, degrees): 7.317 7.317 7.317 90.00 90.00 90.00
Element x y z (fractional)
1 Sm 0.000 0.000 0.000
2 Sm 0.000 0.500 0.500
3 Sm 0.500 0.000 0.500
4 Sm 0.500 0.500 0.000
5 Ho 0.000 0.000 0.500
6 Ho 0.000 0.500 0.000
7 Ho 0.500 0.000 0.000
8 Ho 0.500 0.500 0.500
9 Ti 0.250 0.250 0.750
10 Ti 0.250 0.750 0.250
11 Ti 0.750 0.250 0.250
12 Ti 0.750 0.750 0.750
13 Al 0.250 0.250 0.250
14 Al 0.250 0.750 0.750
15 Al 0.750 0.250 0.750
16 Al 0.750 0.750 0.250

Record 2
A plane-wave DFT calculation with PBE was carried out for a relaxed structure of ScZnAs3.

Energy of formation: 0.32 eV/atom

Lattice parameters (Å, degrees): 5.087 5.087 5.087 90.00 90.00 90.00
Element x y z (fractional)
1 Sc 0.000 0.000 0.000
2 Zn 0.500 0.500 0.500
3 As 0.000 0.000 0.500
4 As 0.000 0.500 0.000
5 As 0.500 0.000 0.000

Record 3
A plane-wave DFT calculation with PBE was carried out for a relaxed structure of CrPtS2Cl.

ΔE_f (raw): 2.23 eV/f.u.

Lattice parameters (Å, degrees): 4.739 4.739 4.831 90.00 90.00 90.00
Element x y z (fractional)
1 Cr 0.000 0.000 0.000
2 Pt 0.500 0.500 0.500
3 S 0.000 0.500 0.500
4 S 0.500 0.000 0.500
5 Cl 0.500 0.500 0.000

Record 4
A plane-wave DFT calculation with PBE was carried out for a relaxed structure of KRb2As2S6.

ΔE_f (raw): -5.81 eV/f.u.

Lattice parameters (Å, degrees): 7.244 7.244 8.456 105.40 105.40 62.16
Element x y z (fractional)
1 K 0.000 0.000 0.000
2 Rb 0.191 0.191 0.684
3 Rb 0.809 0.809 0.316
4 As 0.477 0.477 0.187
5 As 0.523 0.523 0.813
6 S 0.198 0.676 0.702
7 S 0.297 0.297 0.123
8 S 0.324 0.802 0.298
9 S 0.676 0.198 0.702
10 S 0.703 0.703 0.877
11 S 0.802 0.324 0.298

Quick rundown of magnetization, same order as above: 0.61 0.00 0.70 0.00 μB/atom